Computed, not measured: crystalline Rb2NaErCl6 at its relaxed geometry at the PBE level of DFT.

CIF file:
```
data_Rb2NaErCl6
_symmetry_space_group_name_H-M 'F m -3 m'
_symmetry_Int_Tables_number 225
_symmetry_space_group_name_Hall '-F 4 2 3'
_cell_length_a 10.659
_cell_length_b 10.659
_cell_length_c 10.659
_cell_angle_alpha 90.00
_cell_angle_beta 90.00
_cell_angle_gamma 90.00
loop_
_atom_site_label
_atom_site_type_symbol
_atom_site_fract_x
_atom_site_fract_y
_atom_site_fract_z
_atom_site_occupancy
Rb1 Rb 0.250 0.250 0.250 1
Na1 Na 0.000 0.000 0.000 1
Er1 Er 0.000 0.000 0.500 1
Cl1 Cl 0.000 0.000 0.256 1
```

Density ... 3.1 g cm⁻³



Computed, not measured: crystalline UTlSi at its relaxed geometry at the PBE level of DFT.

CIF file:
```
data_UTlSi
_symmetry_space_group_name_H-M 'F -4 3 m'
_symmetry_Int_Tables_number 216
_symmetry_space_group_name_Hall 'F -4 2 3'
_cell_length_a 6.696
_cell_length_b 6.696
_cell_length_c 6.696
_cell_angle_alpha 90.00
_cell_angle_beta 90.00
_cell_angle_gamma 90.00
loop_
_atom_site_label
_atom_site_type_symbol
_atom_site_fract_x
_atom_site_fract_y
_atom_site_fract_z
_atom_site_occupancy
U1 U 0.000 0.000 0.000 1
Tl1 Tl 0.000 0.000 0.500 1
Si1 Si 0.250 0.250 0.750 1
```

Density ... 10.4 g cm⁻³
Distance to the lowest polymorph of the same formula ... 0.0 meV per atom



Computed, not measured: crystalline NpAl at its relaxed geometry at the PBE level of DFT.

CIF file:
```
data_NpAl
_symmetry_space_group_name_H-M 'F -4 3 m'
_symmetry_Int_Tables_number 216
_symmetry_space_group_name_Hall 'F -4 2 3'
_cell_length_a 6.703
_cell_length_b 6.703
_cell_length_c 6.703
_cell_angle_alpha 90.00
_cell_angle_beta 90.00
_cell_angle_gamma 90.00
loop_
_atom_site_label
_atom_site_type_symbol
_atom_site_fract_x
_atom_site_fract_y
_atom_site_fract_z
_atom_site_occupancy
Np1 Np 0.000 0.000 0.000 1
Al1 Al 0.250 0.250 0.250 1
```

Density ... 5.8 g cm⁻³



Calculated size of the total moment, 0.000; 1.056; 2.728 μB/atom (same order as the records).
Calculated VASP energy, -159.7; -70.8; -52.0 eV for the cell shown (same order as the records).